Record 1
Density functional theory data (PBE-GGA) for crystalline TaCuOs2 at its relaxed geometry.

Unit cell a=4.844 b=4.844 c=4.590 alpha=78.88 beta=78.88 gamma=34.37
Element x y z (fractional)
Os: 0.743 0.743 0.770
Ta: 0.498 0.498 0.493
Os: 0.005 0.005 0.984
Cu: 0.253 0.253 0.253



Record 2
Density functional theory data (PBE-GGA) for crystalline TaCuOs2 at its relaxed geometry.

Unit cell a=9.177 b=9.177 c=9.177 alpha=17.29 beta=17.29 gamma=17.29
Element x y z (fractional)
Os: 0.003 0.003 0.003
Os: 0.497 0.497 0.497
Ta: 0.250 0.250 0.250
Cu: 0.750 0.750 0.750



Record 3
Density functional theory data (PBE-GGA) for crystalline Ta2Cu2Os at its relaxed geometry.

Unit cell a=7.259 b=7.259 c=2.997 alpha=90.00 beta=90.00 gamma=90.00
Element x y z (fractional)
Ta: 0.180 0.320 0.000
Ta: 0.820 0.680 0.000
Cu: 0.382 0.118 0.500
Os: 0.000 0.000 0.000
Cu: 0.618 0.882 0.500
Os: 0.500 0.500 0.000
Cu: 0.118 0.618 0.500
Ta: 0.320 0.820 0.000
Ta: 0.680 0.180 0.000
Cu: 0.882 0.382 0.500



Record 4
Density functional theory data (PBE-GGA) for crystalline TaCuOs2 at its relaxed geometry.

Unit cell a=2.745 b=2.745 c=8.638 alpha=90.00 beta=90.00 gamma=111.96
Element x y z (fractional)
Ta: 0.500 0.500 0.250
Os: 0.000 0.000 0.998
Cu: 0.500 0.500 0.750
Os: 0.000 0.000 0.502



Record 5
Density functional theory data (PBE-GGA) for crystalline TaCu2Os at its relaxed geometry.

Unit cell a=2.681 b=2.681 c=7.890 alpha=90.00 beta=90.00 gamma=89.94
Each line ends with the local moment (μB).
Element x y z (fractional)
Os: 0.500 0.500 0.250  0.32
Ta: 0.500 0.500 0.750  0.00
Cu: 0.000 0.000 0.489  0.01
Cu: 0.000 0.000 0.011  0.01



Record 6
Density functional theory data (PBE-GGA) for crystalline Ta2Cu2Os at its relaxed geometry.

Unit cell a=3.144 b=3.144 c=8.259 alpha=79.03 beta=79.03 gamma=90.00
Element x y z (fractional)
Cu: 0.250 0.750 0.500
Cu: 0.750 0.250 0.500
Os: 0.000 0.000 0.000
Ta: 0.605 0.605 0.790
Ta: 0.395 0.395 0.210



Record 7
Density functional theory data (PBE-GGA) for crystalline Ta2Cu2Os at its relaxed geometry.

Unit cell a=6.688 b=6.688 c=3.308 alpha=90.00 beta=90.00 gamma=90.00
Element x y z (fractional)
Ta: 0.322 0.178 0.500
Ta: 0.178 0.678 0.500
Cu: 0.876 0.624 0.000
Cu: 0.376 0.876 0.000
Os: 0.500 0.500 0.000
Ta: 0.822 0.322 0.500
Ta: 0.678 0.822 0.500
Os: 0.000 0.000 0.000
Cu: 0.624 0.124 0.000
Cu: 0.124 0.376 0.000



Record 8
Density functional theory data (PBE-GGA) for crystalline TaCuOs2 at its relaxed geometry.

Unit cell a=3.748 b=3.951 c=3.951 alpha=90.00 beta=90.00 gamma=90.00
Element x y z (fractional)
Os: 0.000 0.000 0.000
Os: 0.000 0.500 0.500
Ta: 0.500 0.500 0.000
Cu: 0.500 0.000 0.500



Number 1: distance to the lowest polymorph of the same formula 0.52 eV per formula unit, N(E_F) 3.331 states/eV per cell, total magnetic moment 0.000 μB per cell. Number 2: distance to the lowest polymorph of the same formula 0.92 eV per formula unit, N(E_F) 4.136 states/eV per cell, total magnetic moment 0.000 μB per cell. Number 3: distance to the lowest polymorph of the same formula 2.49 eV per formula unit, N(E_F) 6.708 states/eV per cell, total magnetic moment 0.000 μB per cell. Number 4: distance to the lowest polymorph of the same formula 1.13 eV per formula unit, N(E_F) 4.433 states/eV per cell, total magnetic moment 0.000 μB per cell. Number 5: distance to the lowest polymorph of the same formula 1.30 eV per formula unit, N(E_F) 3.642 states/eV per cell, total magnetic moment 0.350 μB per cell. Number 6: distance to the lowest polymorph of the same formula 1.23 eV per formula unit, N(E_F) 5.372 states/eV per cell, total magnetic moment 0.000 μB per cell. Number 7: distance to the lowest polymorph of the same formula 0.00 eV per formula unit, N(E_F) 9.726 states/eV per cell, total magnetic moment 0.000 μB per cell. Number 8: distance to the lowest polymorph of the same formula 0.00 eV per formula unit, N(E_F) 2.917 states/eV per cell, total magnetic moment 0.000 μB per cell.